The following is a DFT calculation (PBE) of a geometry-optimized PuAlPd structure.

Cell lengths 5.418, 5.418, 5.418 Å; angles 92.21, 117.80, 119.68 degrees
Fractional positions:
1 Al 0.500 0.000 0.500
2 Al 0.000 0.500 0.500
3 Pu 0.750 0.868 0.118
4 Pu 0.250 0.132 0.882
5 Pd 0.500 0.500 0.500
6 Pd 0.000 0.500 0.000

E_form   -583 meV/atom
Total moment   11.2 μB per cell

---

The following is a DFT calculation (PBE) of a geometry-optimized Sm2YTe structure.

Cell lengths 4.024, 6.425, 10.055 Å; angles 90.00, 90.00, 108.25 degrees
Fractional positions:
1 Sm 0.365 0.730 0.539
2 Sm 0.365 0.730 0.961
3 Sm 0.635 0.270 0.461
4 Sm 0.635 0.270 0.039
5 Y 0.940 0.879 0.250
6 Y 0.060 0.121 0.750
7 Te 0.764 0.529 0.750
8 Te 0.236 0.471 0.250

Polymorph energy (0 for the lowest one)   0.00 kJ/mol of atoms
Total moment   0.0 μB per cell
Formation energy without anion corrections   -0.680 eV per atom

---

The following is a DFT calculation (PBE) of a geometry-optimized Ta2NbS5 structure.

Cell lengths 4.876, 6.480, 11.137 Å; angles 90.00, 90.00, 112.10 degrees
Fractional positions:
1 S 0.649 0.298 0.576
2 S 0.957 0.915 0.618
3 S 0.043 0.085 0.118
4 S 0.649 0.298 0.924
5 S 0.957 0.915 0.882
6 S 0.351 0.702 0.076
7 S 0.747 0.494 0.250
8 S 0.351 0.702 0.424
9 S 0.043 0.085 0.382
10 S 0.253 0.506 0.750
11 Ta 0.175 0.349 0.964
12 Ta 0.175 0.349 0.536
13 Ta 0.825 0.651 0.036
14 Ta 0.825 0.651 0.464
15 Nb 0.801 0.601 0.750
16 Nb 0.199 0.399 0.250

Polymorph energy (0 for the lowest one)   0.00 kJ/mol of atoms
Total moment   0.0 μB per cell
Formation energy without anion corrections   -0.821 eV per atom

---

The following is a DFT calculation (PBE) of a geometry-optimized BaBiIr structure.

Cell lengths 5.069, 4.303, 8.935 Å; angles 90.00, 102.10, 90.00 degrees
Fractional positions:
1 Bi 0.719 0.500 0.438
2 Bi 0.440 0.500 0.948
3 Ba 0.889 0.000 0.783
4 Ba 0.062 0.000 0.207
5 Ir 0.402 0.000 0.528
6 Ir 0.253 0.500 0.616

E_form   -298 meV/atom
Total moment   0.0 μB per cell

---

The following is a DFT calculation (PBE) of a geometry-optimized GdCu2Ge2 structure.

Cell lengths 4.102, 4.102, 5.904 Å; angles 110.33, 110.33, 90.00 degrees
Fractional positions:
1 Cu 0.750 0.250 0.500
2 Cu 0.250 0.750 0.500
3 Ge 0.379 0.379 0.758
4 Ge 0.621 0.621 0.242
5 Gd 0.000 0.000 0.000

E_form   -518 meV/atom
Total moment   7.0 μB per cell

---

The following is a DFT calculation (PBE) of a geometry-optimized CePrNiS4 structure.

Cell lengths 6.605, 5.686, 7.980 Å; angles 90.00, 106.81, 90.00 degrees
Fractional positions:
1 S 0.580 0.250 0.402
2 S 0.986 0.010 0.248
3 S 0.014 0.990 0.752
4 S 0.428 0.750 0.123
5 S 0.572 0.250 0.877
6 S 0.420 0.750 0.598
7 S 0.014 0.510 0.752
8 S 0.986 0.490 0.248
9 Ni 0.239 0.750 0.319
10 Ni 0.761 0.250 0.681
11 Pr 0.269 0.250 0.069
12 Pr 0.731 0.750 0.931
13 Ce 0.744 0.750 0.439
14 Ce 0.256 0.250 0.561

Total moment   0.5 μB per cell
Formation energy without anion corrections   -1.551 eV per atom